The following is a DFT calculation (PBE-GGA) of a relaxed Ce3TmSb3 crystal.

Computed properties:
Space-group type: R-3
Formation energy without anion corrections, eV/atom: -0.762
ρ, g/cm3: 7.04

The structure in CIF format:
```
data_Ce3TmSb3
_cell_length_a 9.1151
_cell_length_b 9.1151
_cell_length_c 8.1744
_cell_angle_alpha 56.11
_cell_angle_beta 56.11
_cell_angle_gamma 60.00
_symmetry_space_group_name_H-M 'P 1'
_symmetry_Int_Tables_number 1
_symmetry_space_group_name_Hall 'P 1'
loop_
_atom_site_label
_atom_site_type_symbol
_atom_site_fract_x
_atom_site_fract_y
_atom_site_fract_z
Sb1 Sb 0.6855 0.4744 0.7640
Ce1 Ce 0.3357 0.8327 0.7406
Tm1 Tm 0.3312 0.3312 0.0063
Sb2 Sb 0.5256 0.9238 0.2360
Sb3 Sb 0.3145 0.5256 0.2360
Ce2 Ce 0.8327 0.0910 0.7406
Sb4 Sb 0.0762 0.6855 0.7640
Ce3 Ce 0.1673 0.9090 0.2594
Ce4 Ce 0.6643 0.1673 0.2594
Ce5 Ce 0.9090 0.6643 0.2594
Sb5 Sb 0.9238 0.3145 0.2360
Tm2 Tm 0.6688 0.6688 0.9937
Sb6 Sb 0.4744 0.0762 0.7640
Ce6 Ce 0.0910 0.3357 0.7406
```